1.
# GdTmMo4, optimized geometry, DFT PBE
# Energy ... -10.211 eV/atom
# Formation enthalpy at 0 K ... 102 meV/atom
# Symmetry ... No. 216
# Calculated density ... 9.9 Mg/m³
data_GdTmMo4
_space_group_name_H-M_alt 'P 1'
_space_group_IT_number 1
_cell_length_a 5.5138
_cell_length_b 5.5138
_cell_length_c 5.5138
_cell_angle_alpha 60.00
_cell_angle_beta 60.00
_cell_angle_gamma 60.00
loop_
_space_group_symop_operation_xyz
'x,y,z'
loop_
_atom_site_label
_atom_site_type_symbol
_atom_site_fract_x
_atom_site_fract_y
_atom_site_fract_z
_atom_site_occupancy
Gd1 Gd 0.0000 0.0000 0.0000 1
Tm1 Tm 0.2500 0.2500 0.2500 1
Mo1 Mo 0.1246 0.6251 0.6251 1
Mo2 Mo 0.6251 0.1246 0.6251 1
Mo3 Mo 0.6251 0.6251 0.1246 1
Mo4 Mo 0.6251 0.6251 0.6251 1

=====

2.
# TbGdScGa, optimized geometry, DFT PBE
# Energy ... -7.173 eV/atom
# Formation enthalpy at 0 K ... -156 meV/atom
# Symmetry ... No. 216
# Calculated density ... 7.1 Mg/m³
data_TbGdScGa
_space_group_name_H-M_alt 'P 1'
_space_group_IT_number 1
_cell_length_a 7.3911
_cell_length_b 7.3911
_cell_length_c 7.3911
_cell_angle_alpha 90.00
_cell_angle_beta 90.00
_cell_angle_gamma 90.00
loop_
_space_group_symop_operation_xyz
'x,y,z'
loop_
_atom_site_label
_atom_site_type_symbol
_atom_site_fract_x
_atom_site_fract_y
_atom_site_fract_z
_atom_site_occupancy
Tb1 Tb 0.0000 0.0000 0.0000 1
Tb2 Tb 0.0000 0.5000 0.5000 1
Tb3 Tb 0.5000 0.0000 0.5000 1
Tb4 Tb 0.5000 0.5000 0.0000 1
Gd1 Gd 0.0000 0.0000 0.5000 1
Gd2 Gd 0.0000 0.5000 0.0000 1
Gd3 Gd 0.5000 0.0000 0.0000 1
Gd4 Gd 0.5000 0.5000 0.5000 1
Sc1 Sc 0.2500 0.2500 0.7500 1
Sc2 Sc 0.2500 0.7500 0.2500 1
Sc3 Sc 0.7500 0.2500 0.2500 1
Sc4 Sc 0.7500 0.7500 0.7500 1
Ga1 Ga 0.2500 0.2500 0.2500 1
Ga2 Ga 0.2500 0.7500 0.7500 1
Ga3 Ga 0.7500 0.2500 0.7500 1
Ga4 Ga 0.7500 0.7500 0.2500 1

=====

3.
# Mg4Re, optimized geometry, DFT PBE
# Energy ... -2.928 eV/atom
# Formation enthalpy at 0 K ... 837 meV/atom
# Symmetry ... No. 139
# Calculated density ... 4.5 Mg/m³
# Energy above the lowest structure with this stoichiometry ... 549.6 meV per atom
data_Mg4Re
_space_group_name_H-M_alt 'P 1'
_space_group_IT_number 1
_cell_length_a 3.6955
_cell_length_b 3.6955
_cell_length_c 15.2469
_cell_angle_alpha 90.00
_cell_angle_beta 90.00
_cell_angle_gamma 90.00
loop_
_space_group_symop_operation_xyz
'x,y,z'
loop_
_atom_site_label
_atom_site_type_symbol
_atom_site_fract_x
_atom_site_fract_y
_atom_site_fract_z
_atom_site_occupancy
Mg1 Mg 0.0000 0.0000 0.0868 1
Mg2 Mg 0.0000 0.0000 0.9132 1
Mg3 Mg 0.0000 0.5000 0.2500 1
Mg4 Mg 0.0000 0.5000 0.7500 1
Mg5 Mg 0.5000 0.0000 0.2500 1
Mg6 Mg 0.5000 0.0000 0.7500 1
Mg7 Mg 0.5000 0.5000 0.4132 1
Mg8 Mg 0.5000 0.5000 0.5868 1
Re1 Re 0.0000 0.0000 0.5000 1
Re2 Re 0.5000 0.5000 0.0000 1

=====

4.
# Pr2MgGe3Pd4, optimized geometry, DFT PBE
# Energy ... -5.389 eV/atom
# Formation enthalpy at 0 K ... -811 meV/atom
# Symmetry ... No. 115
# Calculated density ... 8.0 Mg/m³
data_Pr2MgGe3Pd4
_space_group_name_H-M_alt 'P 1'
_space_group_IT_number 1
_cell_length_a 4.3557
_cell_length_b 4.3557
_cell_length_c 10.4225
_cell_angle_alpha 90.00
_cell_angle_beta 90.00
_cell_angle_gamma 90.00
loop_
_space_group_symop_operation_xyz
'x,y,z'
loop_
_atom_site_label
_atom_site_type_symbol
_atom_site_fract_x
_atom_site_fract_y
_atom_site_fract_z
_atom_site_occupancy
Pr1 Pr 0.0000 0.5000 0.2412 1
Pr2 Pr 0.5000 0.0000 0.7588 1
Mg1 Mg 0.0000 0.0000 0.5000 1
Ge1 Ge 0.0000 0.5000 0.8716 1
Ge2 Ge 0.5000 0.0000 0.1284 1
Ge3 Ge 0.5000 0.5000 0.5000 1
Pd1 Pd 0.0000 0.0000 0.0000 1
Pd2 Pd 0.0000 0.5000 0.6347 1
Pd3 Pd 0.5000 0.0000 0.3653 1
Pd4 Pd 0.5000 0.5000 0.0000 1

=====

5.
# ZrRe2Si, optimized geometry, DFT PBE
# Energy ... -9.591 eV/atom
# Symmetry ... No. 166
# Calculated density ... 12.7 Mg/m³
# Uncorrected formation energy ... 0.126 eV/atom
data_ZrRe2Si
_space_group_name_H-M_alt 'P 1'
_space_group_IT_number 1
_cell_length_a 2.9018
_cell_length_b 2.9018
_cell_length_c 26.3901
_cell_angle_alpha 90.00
_cell_angle_beta 90.00
_cell_angle_gamma 120.00
loop_
_space_group_symop_operation_xyz
'x,y,z'
loop_
_atom_site_label
_atom_site_type_symbol
_atom_site_fract_x
_atom_site_fract_y
_atom_site_fract_z
_atom_site_occupancy
Zr1 Zr 0.0000 0.0000 0.0000 1
Zr2 Zr 0.3333 0.6667 0.6667 1
Zr3 Zr 0.6667 0.3333 0.3333 1
Re1 Re 0.0000 0.0000 0.2389 1
Re2 Re 0.0000 0.0000 0.7611 1
Re3 Re 0.3333 0.6667 0.4278 1
Re4 Re 0.3333 0.6667 0.9056 1
Re5 Re 0.6667 0.3333 0.0944 1
Re6 Re 0.6667 0.3333 0.5722 1
Si1 Si 0.0000 0.0000 0.5000 1
Si2 Si 0.3333 0.6667 0.1667 1
Si3 Si 0.6667 0.3333 0.8333 1

=====

6.
# TaHgRh3, optimized geometry, DFT PBE
# Energy ... -6.076 eV/atom
# Formation enthalpy at 0 K ... 765 meV/atom
# Symmetry ... No. 221
# Calculated density ... 10.7 Mg/m³
# Energy above the lowest structure with this stoichiometry ... 0.0 meV per atom
data_TaHgRh3
_space_group_name_H-M_alt 'P 1'
_space_group_IT_number 1
_cell_length_a 4.7424
_cell_length_b 4.7424
_cell_length_c 4.7424
_cell_angle_alpha 90.00
_cell_angle_beta 90.00
_cell_angle_gamma 90.00
loop_
_space_group_symop_operation_xyz
'x,y,z'
loop_
_atom_site_label
_atom_site_type_symbol
_atom_site_fract_x
_atom_site_fract_y
_atom_site_fract_z
_atom_site_occupancy
Ta1 Ta 0.0000 0.0000 0.0000 1
Hg1 Hg 0.5000 0.5000 0.5000 1
Rh1 Rh 0.0000 0.0000 0.5000 1
Rh2 Rh 0.0000 0.5000 0.0000 1
Rh3 Rh 0.5000 0.0000 0.0000 1

=====

7.
# TbGdAlCr, optimized geometry, DFT PBE
# Energy ... -8.013 eV/atom
# Formation enthalpy at 0 K ... 6 meV/atom
# Symmetry ... No. 216
# Calculated density ... 6.8 Mg/m³
data_TbGdAlCr
_space_group_name_H-M_alt 'P 1'
_space_group_IT_number 1
_cell_length_a 7.2639
_cell_length_b 7.2639
_cell_length_c 7.2639
_cell_angle_alpha 90.00
_cell_angle_beta 90.00
_cell_angle_gamma 90.00
loop_
_space_group_symop_operation_xyz
'x,y,z'
loop_
_atom_site_label
_atom_site_type_symbol
_atom_site_fract_x
_atom_site_fract_y
_atom_site_fract_z
_atom_site_occupancy
Tb1 Tb 0.0000 0.0000 0.0000 1
Tb2 Tb 0.0000 0.5000 0.5000 1
Tb3 Tb 0.5000 0.0000 0.5000 1
Tb4 Tb 0.5000 0.5000 0.0000 1
Gd1 Gd 0.0000 0.0000 0.5000 1
Gd2 Gd 0.0000 0.5000 0.0000 1
Gd3 Gd 0.5000 0.0000 0.0000 1
Gd4 Gd 0.5000 0.5000 0.5000 1
Al1 Al 0.2500 0.2500 0.7500 1
Al2 Al 0.2500 0.7500 0.2500 1
Al3 Al 0.7500 0.2500 0.2500 1
Al4 Al 0.7500 0.7500 0.7500 1
Cr1 Cr 0.2500 0.2500 0.2500 1
Cr2 Cr 0.2500 0.7500 0.7500 1
Cr3 Cr 0.7500 0.2500 0.7500 1
Cr4 Cr 0.7500 0.7500 0.2500 1

=====

8.
# Pr4Cd3In2, optimized geometry, DFT PBE
# Energy ... -3.362 eV/atom
# Formation enthalpy at 0 K ... -324 meV/atom
# Symmetry ... No. 164
# Calculated density ... 7.2 Mg/m³
data_Pr4Cd3In2
_space_group_name_H-M_alt 'P 1'
_space_group_IT_number 1
_cell_length_a 5.3660
_cell_length_b 5.3660
_cell_length_c 10.4260
_cell_angle_alpha 90.00
_cell_angle_beta 90.00
_cell_angle_gamma 120.00
loop_
_space_group_symop_operation_xyz
'x,y,z'
loop_
_atom_site_label
_atom_site_type_symbol
_atom_site_fract_x
_atom_site_fract_y
_atom_site_fract_z
_atom_site_occupancy
Pr1 Pr 0.0000 0.0000 0.1689 1
Pr2 Pr 0.0000 0.0000 0.8311 1
Pr3 Pr 0.3333 0.6667 0.6148 1
Pr4 Pr 0.6667 0.3333 0.3852 1
Cd1 Cd 0.0000 0.0000 0.5000 1
Cd2 Cd 0.3333 0.6667 0.9776 1
Cd3 Cd 0.6667 0.3333 0.0224 1
In1 In 0.3333 0.6667 0.2870 1
In2 In 0.6667 0.3333 0.7130 1

=====

9.
# Tl3SbI, optimized geometry, DFT PBE
# Energy ... -2.700 eV/atom
# Symmetry ... No. 11
# Calculated density ... 7.2 Mg/m³
# Energy above the lowest structure with this stoichiometry ... 0.0 meV per atom
# Uncorrected formation energy ... -0.146 eV/atom
data_Tl3SbI
_space_group_name_H-M_alt 'P 1'
_space_group_IT_number 1
_cell_length_a 8.9032
_cell_length_b 4.9415
_cell_length_c 9.1016
_cell_angle_alpha 90.00
_cell_angle_beta 95.79
_cell_angle_gamma 90.00
loop_
_space_group_symop_operation_xyz
'x,y,z'
loop_
_atom_site_label
_atom_site_type_symbol
_atom_site_fract_x
_atom_site_fract_y
_atom_site_fract_z
_atom_site_occupancy
Tl1 Tl 0.0088 0.2500 0.2448 1
Tl2 Tl 0.3270 0.7500 0.9561 1
Tl3 Tl 0.4231 0.7500 0.3905 1
Tl4 Tl 0.5769 0.2500 0.6095 1
Tl5 Tl 0.6730 0.2500 0.0439 1
Tl6 Tl 0.9912 0.7500 0.7552 1
Sb1 Sb 0.3629 0.2500 0.1685 1
Sb2 Sb 0.6371 0.7500 0.8315 1
I1 I 0.1824 0.2500 0.6050 1
I2 I 0.8176 0.7500 0.3950 1

=====

10.
# In5HgBr4, optimized geometry, DFT PBE
# Energy ... -2.534 eV/atom
# Symmetry ... No. 71
# Calculated density ... 5.3 Mg/m³
# Uncorrected formation energy ... -0.465 eV/atom
data_In5HgBr4
_space_group_name_H-M_alt 'P 1'
_space_group_IT_number 1
_cell_length_a 12.7457
_cell_length_b 12.7457
_cell_length_c 12.7457
_cell_angle_alpha 160.19
_cell_angle_beta 150.89
_cell_angle_gamma 35.46
loop_
_space_group_symop_operation_xyz
'x,y,z'
loop_
_atom_site_label
_atom_site_type_symbol
_atom_site_fract_x
_atom_site_fract_y
_atom_site_fract_z
_atom_site_occupancy
In1 In 0.0000 0.0000 0.0000 1
In2 In 0.2031 0.2031 0.0000 1
In3 In 0.4098 0.4098 0.0000 1
In4 In 0.5902 0.5902 0.0000 1
In5 In 0.7969 0.7969 0.0000 1
Hg1 Hg 0.5000 0.0000 0.5000 1
Br1 Br 0.1026 0.6026 0.5000 1
Br2 Br 0.3100 0.8100 0.5000 1
Br3 Br 0.6900 0.1900 0.5000 1
Br4 Br 0.8974 0.3974 0.5000 1

=====

Q: Which value of calculated density does entry 9 give?
A: 7.2 Mg/m³

=====

Copy entry 7 word for word.
# TbGdAlCr, optimized geometry, DFT PBE
# Energy ... -8.013 eV/atom
# Formation enthalpy at 0 K ... 6 meV/atom
# Symmetry ... No. 216
# Calculated density ... 6.8 Mg/m³
data_TbGdAlCr
_space_group_name_H-M_alt 'P 1'
_space_group_IT_number 1
_cell_length_a 7.2639
_cell_length_b 7.2639
_cell_length_c 7.2639
_cell_angle_alpha 90.00
_cell_angle_beta 90.00
_cell_angle_gamma 90.00
loop_
_space_group_symop_operation_xyz
'x,y,z'
loop_
_atom_site_label
_atom_site_type_symbol
_atom_site_fract_x
_atom_site_fract_y
_atom_site_fract_z
_atom_site_occupancy
Tb1 Tb 0.0000 0.0000 0.0000 1
Tb2 Tb 0.0000 0.5000 0.5000 1
Tb3 Tb 0.5000 0.0000 0.5000 1
Tb4 Tb 0.5000 0.5000 0.0000 1
Gd1 Gd 0.0000 0.0000 0.5000 1
Gd2 Gd 0.0000 0.5000 0.0000 1
Gd3 Gd 0.5000 0.0000 0.0000 1
Gd4 Gd 0.5000 0.5000 0.5000 1
Al1 Al 0.2500 0.2500 0.7500 1
Al2 Al 0.2500 0.7500 0.2500 1
Al3 Al 0.7500 0.2500 0.2500 1
Al4 Al 0.7500 0.7500 0.7500 1
Cr1 Cr 0.2500 0.2500 0.2500 1
Cr2 Cr 0.2500 0.7500 0.7500 1
Cr3 Cr 0.7500 0.2500 0.7500 1
Cr4 Cr 0.7500 0.7500 0.2500 1